1.
CsZr3Te | PBE | relaxed

Calculated values
D(E_F) in states/eV per cell: 7.3
Energy relative to the lowest polymorph listed for this composition in eV per atom: 0.973

a b c (Å): 5.293 5.293 5.293
angles (deg): 90.00 90.00 90.00
Each line ends with the local moment (μB).
Sites, in units of the cell vectors:
Zr 0.000 0.500 0.000  0.31
Zr 0.000 0.000 0.500  0.28
Zr 0.500 0.000 0.000  0.35
Te 0.500 0.500 0.500  0.00
Cs 0.000 0.000 0.000  0.03

=====

2.
SrIO2 | PBE | relaxed

Calculated values
D(E_F) in states/eV per cell: 4.2
Energy relative to the lowest polymorph listed for this composition in eV per atom: 0.846

a b c (Å): 4.679 4.679 4.679
angles (deg): 60.00 60.00 60.00
Each line ends with the local moment (μB).
Sites, in units of the cell vectors:
O 0.250 0.250 0.250  0.62
O 0.750 0.750 0.750  0.62
Sr 0.000 0.000 0.000  0.02
I 0.500 0.500 0.500  0.60

=====

Number 1: calculated density 5.982 g/cm3. Number 2: calculated density 5.652 g/cm3.